No. 1
This record from the Alexandria database describes a geometry-optimized Si3NiI structure. The functional is GGA-PBE.

```
10
Lattice="3.905 0.000 0.000 0.000 4.811 0.000 -0.231 0.000 12.220" Properties=species:S:1:pos:R:3 pbc="T T T"
Si -0.010 0.000 0.739
Si 0.849 1.629 2.363
Si 0.898 0.465 10.340
Si 2.777 2.871 1.880
Si 2.825 4.035 9.857
Si 3.684 2.406 11.481
Ni 1.619 3.732 12.043
Ni 2.055 1.327 0.176
I 0.974 0.409 4.536
I 2.700 2.814 7.684
```

Results
Offset from the most stable computed form = 76 meV/atom
Mass density = 3904 kg/m3
Formation energy from raw total energies = -0.209 eV/f.u.
Space group = P2_1
Electronic total energy = -4.7618 eV per atom
Size of the total moment = 0.00 μB/f.u.

No. 2
This record from the Alexandria database describes a geometry-optimized Y3AsIr structure. The functional is GGA-PBE.

```
5
Lattice="5.334 0.000 0.000 0.000 5.334 0.000 0.000 0.000 5.334" Properties=species:S:1:pos:R:3 pbc="T T T"
Y 0.000 0.000 2.667
Y 0.000 2.667 0.000
Y 2.667 0.000 0.000
As 2.667 2.667 2.667
Ir 0.000 0.000 0.000
```

Results
Offset from the most stable computed form = 0 meV/atom
Mass density = 5841 kg/m3
Space group = Pm-3m
Electronic total energy = -6.9763 eV per atom
Size of the total moment = 0.00 μB/f.u.

No. 3
This record from the Alexandria database describes a geometry-optimized SmErTmMg structure. The functional is GGA-PBE.

```
4
Lattice="3.566 0.000 0.000 0.000 3.566 0.000 0.000 0.000 9.297" Properties=species:S:1:pos:R:3 pbc="T T T"
Sm 0.000 0.000 0.000
Er 0.000 0.000 4.871
Tm 1.783 1.783 2.476
Mg 1.783 1.783 7.029
```

Results
Offset from the most stable computed form = 0 meV/atom
Mass density = 7174 kg/m3
Space group = P4mm
Electronic total energy = -3.8590 eV per atom
Size of the total moment = 0.00 μB/f.u.

No. 4
This record from the Alexandria database describes a geometry-optimized Pm3In4Cu2 structure. The functional is GGA-PBE.

```
9
Lattice="5.594 -2.379 0.000 5.594 2.379 0.000 -3.663 0.000 8.312" Properties=species:S:1:pos:R:3 pbc="T T T"
Pm 0.000 0.000 0.000
Pm 2.369 0.000 2.923
Pm 5.156 0.000 5.389
In -0.933 0.000 3.011
In -0.351 0.000 7.634
In 7.876 0.000 0.678
In 8.458 0.000 5.301
Cu 1.840 0.000 6.061
Cu 5.686 0.000 2.252
```

Results
Mass density = 7667 kg/m3
Space group = C2/m
Electronic total energy = -4.1122 eV per atom
Size of the total moment = 0.00 μB/f.u.

No. 5
This record from the Alexandria database describes a geometry-optimized Ba3Na7As4 structure. The functional is GGA-PBE.

```
14
Lattice="9.193 -2.463 0.000 9.193 2.463 0.000 -7.067 0.000 9.321" Properties=species:S:1:pos:R:3 pbc="T T T"
Ba 0.000 0.000 0.000
Ba 3.605 0.000 2.379
Ba 7.713 0.000 6.943
Na -3.534 0.000 4.661
Na 0.241 0.000 3.913
Na -1.008 0.000 9.228
Na 3.869 0.000 6.692
Na 7.449 0.000 2.629
Na 12.326 0.000 0.093
Na 11.077 0.000 5.408
As -3.824 0.000 7.739
As 0.902 0.000 6.932
As 10.416 0.000 2.389
As 15.142 0.000 1.582
```

Results
Mass density = 3433 kg/m3
Space group = C2/m
Electronic total energy = -3.0060 eV per atom
Size of the total moment = 0.69 μB/f.u.

No. 6
This record from the Alexandria database describes a geometry-optimized TbPrDyGa structure. The functional is GGA-PBE.

```
4
Lattice="0.000 3.819 3.819 3.819 0.000 3.819 3.819 3.819 0.000" Properties=species:S:1:pos:R:3 pbc="T T T"
Tb 0.000 0.000 0.000
Pr 5.729 5.729 5.729
Dy 1.910 1.910 1.910
Ga 3.819 3.819 3.819
```

Results
Mass density = 7929 kg/m3
Space group = F-43m
Electronic total energy = -4.3359 eV per atom
Size of the total moment = 1.15 μB/f.u.

No. 7
This record from the Alexandria database describes a geometry-optimized NbP2CS structure. The functional is GGA-PBE.

```
5
Lattice="4.864 0.000 0.000 0.000 4.864 0.000 0.000 0.000 4.692" Properties=species:S:1:pos:R:3 pbc="T T T"
Nb 0.000 0.000 0.000
P 0.000 2.432 0.000
P 2.432 0.000 0.000
C 2.432 2.432 2.346
S 0.000 0.000 2.346
```

Results
Offset from the most stable computed form = 782 meV/atom
Mass density = 2975 kg/m3
Formation energy from raw total energies = 7.983 eV/f.u.
Space group = P4/mmm
Electronic total energy = -5.2515 eV per atom
Size of the total moment = 1.27 μB/f.u.

No. 8
This record from the Alexandria database describes a geometry-optimized Sb2MoI structure. The functional is GGA-PBE.

```
8
Lattice="-3.451 3.451 6.409 3.451 -3.451 6.409 3.451 3.451 -6.409" Properties=species:S:1:pos:R:3 pbc="T T T"
Sb 5.176 1.039 -1.602
Sb 1.039 1.725 1.602
Sb -1.725 2.411 4.806
Sb 2.411 1.725 8.011
Mo 0.000 0.000 0.000
Mo 0.000 3.451 3.204
I 3.451 0.000 3.204
I 0.000 0.000 6.409
```

Results
Offset from the most stable computed form = 0 meV/atom
Mass density = 5075 kg/m3
Formation energy from raw total energies = 2.487 eV/f.u.
Space group = I-42d
Electronic total energy = -4.5348 eV per atom
Size of the total moment = 0.00 μB/f.u.

No. 9
This record from the Alexandria database describes a geometry-optimized Mg7AlGa4 structure. The functional is GGA-PBE.

```
12
Lattice="6.499 -2.624 0.000 6.499 2.624 0.000 -6.172 0.000 7.705" Properties=species:S:1:pos:R:3 pbc="T T T"
Mg 0.000 0.000 0.000
Mg -1.534 0.000 4.770
Mg 2.839 0.000 1.006
Mg 1.601 0.000 5.050
Mg 5.225 0.000 2.655
Mg 3.987 0.000 6.700
Mg 8.360 0.000 2.935
Al 6.499 0.000 0.000
Ga -3.966 0.000 5.968
Ga 0.381 0.000 2.646
Ga 6.445 0.000 5.060
Ga 10.792 0.000 1.738
```

Results
Mass density = 3008 kg/m3
Space group = C2/m
Electronic total energy = -2.2037 eV per atom
Size of the total moment = 0.00 μB/f.u.

No. 10
This record from the Alexandria database describes a geometry-optimized Ga2AgBi structure. The functional is GGA-PBE.

```
8
Lattice="-3.961 3.961 2.967 3.961 -3.961 2.967 3.961 3.961 -2.967" Properties=species:S:1:pos:R:3 pbc="T T T"
Ga 1.980 1.771 -0.742
Ga 2.190 -1.980 3.709
Ga 1.980 2.190 2.225
Ga 1.771 5.941 0.742
Ag 0.000 0.000 0.000
Ag 0.000 3.961 1.484
Bi 3.961 0.000 1.484
Bi 0.000 0.000 2.967
```

Results
Mass density = 8138 kg/m3
Space group = I-42d
Electronic total energy = -3.0438 eV per atom
Size of the total moment = 0.00 μB/f.u.

No. 11
This record from the Alexandria database describes a geometry-optimized HgSbPb6 structure. The functional is GGA-PBE.

```
8
Lattice="3.464 -6.163 0.000 3.464 6.163 0.000 -3.005 0.000 5.976" Properties=species:S:1:pos:R:3 pbc="T T T"
Hg 0.000 0.000 0.000
Sb -1.502 0.000 2.988
Pb 2.636 3.288 1.461
Pb 1.288 3.288 4.516
Pb 1.182 0.000 4.473
Pb 2.742 0.000 1.503
Pb 2.636 -3.288 1.461
Pb 1.288 -3.288 4.516
```

Results
Offset from the most stable computed form = 71 meV/atom
Mass density = 10188 kg/m3
Formation energy from raw total energies = 0.880 eV/f.u.
Space group = C2/m
Electronic total energy = -3.2243 eV per atom
Size of the total moment = 0.00 μB/f.u.

No. 12
This record from the Alexandria database describes a geometry-optimized TaMo structure. The functional is GGA-PBE.

```
2
Lattice="1.625 -2.333 0.000 1.625 2.333 0.000 0.000 0.000 4.468" Properties=species:S:1:pos:R:3 pbc="T T T"
Ta 0.000 0.000 0.000
Mo 1.625 0.000 2.234
```

Results
Mass density = 13571 kg/m3
Space group = Cmmm
Electronic total energy = -11.4382 eV per atom
Size of the total moment = 0.00 μB/f.u.

No. 13
This record from the Alexandria database describes a geometry-optimized RbTc2F structure. The functional is GGA-PBE.

```
4
Lattice="0.000 3.498 3.498 3.498 0.000 3.498 3.498 3.498 0.000" Properties=species:S:1:pos:R:3 pbc="T T T"
Rb 0.000 0.000 0.000
Tc 1.749 1.749 1.749
Tc 5.247 5.247 5.247
F 3.498 3.498 3.498
```

Results
Offset from the most stable computed form = 1760 meV/atom
Mass density = 5829 kg/m3
Formation energy from raw total energies = 7.099 eV/f.u.
Space group = Fm-3m
Electronic total energy = -4.1180 eV per atom
Size of the total moment = 7.12 μB/f.u.

No. 14
This record from the Alexandria database describes a geometry-optimized Ca3Cd4Sn4 structure. The functional is GGA-PBE.

```
11
Lattice="-2.448 3.780 8.091 2.448 -3.780 8.091 2.448 3.780 -8.091" Properties=species:S:1:pos:R:3 pbc="T T T"
Ca 0.000 0.000 0.000
Ca 2.448 0.000 6.148
Ca 0.000 3.780 1.943
Cd 2.448 1.507 -2.730
Cd 2.448 1.507 2.730
Cd 0.000 2.273 5.361
Cd 0.000 2.273 10.820
Sn 0.000 0.000 3.497
Sn 2.448 2.323 0.000
Sn 0.000 1.457 8.091
Sn 0.000 0.000 12.684
```

Results
Mass density = 5793 kg/m3
Space group = Immm
Electronic total energy = -2.7199 eV per atom
Size of the total moment = 0.00 μB/f.u.

No. 15
This record from the Alexandria database describes a geometry-optimized Pr2Ga3Pt5 structure. The functional is GGA-PBE.

```
20
Lattice="2.119 -12.767 0.000 2.119 12.767 0.000 0.000 0.000 7.044" Properties=species:S:1:pos:R:3 pbc="T T T"
Pr 2.119 12.181 3.522
Pr 2.119 4.388 3.688
Pr 2.119 -4.388 0.166
Pr 2.119 -12.181 0.000
Ga 2.119 9.425 4.832
Ga 2.119 5.614 0.559
Ga 2.119 1.212 4.761
Ga 2.119 -1.212 1.238
Ga 2.119 -5.614 4.081
Ga 2.119 -9.425 1.310
Pt 2.119 10.228 1.290
Pt 2.119 7.704 2.471
Pt 2.119 6.951 5.466
Pt 2.119 3.085 6.782
Pt 2.119 1.380 2.144
Pt 2.119 -1.380 5.666
Pt 2.119 -3.085 3.259
Pt 2.119 -6.951 1.944
Pt 2.119 -7.704 5.994
Pt 2.119 -10.228 4.812
```

Results
Offset from the most stable computed form = 43 meV/atom
Mass density = 12778 kg/m3
Space group = Cmc2_1
Electronic total energy = -5.7675 eV per atom
Size of the total moment = 0.00 μB/f.u.

No. 16
This record from the Alexandria database describes a geometry-optimized Sr4TcIr structure. The functional is GGA-PBE.

```
6
Lattice="0.000 4.515 4.515 4.515 0.000 4.515 4.515 4.515 0.000" Properties=species:S:1:pos:R:3 pbc="T T T"
Sr 1.132 1.132 1.132
Sr 3.383 3.383 1.132
Sr 3.383 1.132 3.383
Sr 1.132 3.383 3.383
Tc 6.773 6.773 6.773
Ir 4.515 4.515 4.515
```

Results
Mass density = 5780 kg/m3
Space group = F-43m
Electronic total energy = -2.8932 eV per atom
Size of the total moment = 2.30 μB/f.u.

No. 17
This record from the Alexandria database describes a geometry-optimized CdIn2Bi2Pb4 structure. The functional is GGA-PBE.

```
9
Lattice="6.502 0.000 0.000 1.091 6.714 0.000 2.869 0.980 6.382" Properties=species:S:1:pos:R:3 pbc="T T T"
Cd 0.000 0.000 0.000
In 4.536 1.747 4.097
In 5.926 5.948 2.285
Bi 2.571 1.680 1.371
Bi 7.891 6.015 5.011
Pb 2.803 5.028 2.154
Pb 4.709 4.842 5.199
Pb 5.753 2.852 1.183
Pb 7.659 2.667 4.228
```

Results
Mass density = 9470 kg/m3
Space group = P-1
Electronic total energy = -3.1734 eV per atom
Size of the total moment = 0.00 μB/f.u.

No. 18
This record from the Alexandria database describes a geometry-optimized SrPmBr4 structure. The functional is GGA-PBE.

```
12
Lattice="4.783 -6.920 0.000 4.783 6.920 0.000 -3.937 0.000 5.744" Properties=species:S:1:pos:R:3 pbc="T T T"
Sr 1.830 5.037 4.308
Sr 3.799 -5.037 1.436
Pm 3.799 0.009 1.436
Pm 1.830 -0.009 4.308
Br -1.107 0.839 4.401
Br 2.001 2.423 2.389
Br 0.861 -0.839 1.529
Br 5.596 2.423 0.483
Br 0.033 -2.423 5.261
Br 4.768 0.839 4.215
Br 3.628 -2.423 3.355
Br 6.736 -0.839 1.343
```

Results
Mass density = 4823 kg/m3
Formation energy from raw total energies = -11.289 eV/f.u.
Space group = C2/c
Electronic total energy = -4.0688 eV per atom
Size of the total moment = 0.00 μB/f.u.

No. 19
This record from the Alexandria database describes a geometry-optimized LaInRu4 structure. The functional is GGA-PBE.

```
6
Lattice="0.000 3.790 3.790 3.790 0.000 3.790 3.790 3.790 0.000" Properties=species:S:1:pos:R:3 pbc="T T T"
La 0.000 0.000 0.000
In 1.895 1.895 1.895
Ru 4.730 2.851 2.851
Ru 2.851 4.730 2.851
Ru 2.851 2.851 4.730
Ru 4.730 4.730 4.730
```

Results
Mass density = 10031 kg/m3
Space group = F-43m
Electronic total energy = -7.3835 eV per atom
Size of the total moment = 0.00 μB/f.u.

No. 20
This record from the Alexandria database describes a geometry-optimized Dy4HgSe2 structure. The functional is GGA-PBE.

```
14
Lattice="2.035 -6.579 0.000 2.035 6.579 0.000 0.000 0.000 13.986" Properties=species:S:1:pos:R:3 pbc="T T T"
Dy 0.000 0.000 0.000
Dy 0.000 0.000 6.993
Dy 2.035 2.981 8.722
Dy 2.035 2.981 12.257
Dy 2.035 0.826 3.496
Dy 2.035 -0.826 10.489
Dy 2.035 -2.981 1.729
Dy 2.035 -2.981 5.264
Hg 2.035 5.134 3.496
Hg 2.035 -5.134 10.489
Se 2.035 1.805 0.834
Se 2.035 1.805 6.159
Se 2.035 -1.805 7.827
Se 2.035 -1.805 13.152
```

Results
Mass density = 8942 kg/m3
Formation energy from raw total energies = -8.042 eV/f.u.
Space group = Cmcm
Electronic total energy = -4.8173 eV per atom
Size of the total moment = 0.00 μB/f.u.

No. 21
This record from the Alexandria database describes a geometry-optimized MgScGa2Pd4 structure. The functional is GGA-PBE.

```
8
Lattice="2.247 1.297 7.244 -2.247 1.297 7.244 0.000 -2.594 7.244" Properties=species:S:1:pos:R:3 pbc="T T T"
Mg 0.000 0.000 0.000
Sc 0.000 0.000 10.865
Ga 0.000 0.000 5.429
Ga 0.000 0.000 16.302
Pd 0.000 0.000 2.709
Pd 0.000 0.000 8.131
Pd 0.000 0.000 13.599
Pd 0.000 0.000 19.021
```

Results
Mass density = 8319 kg/m3
Space group = R-3m
Electronic total energy = -5.1272 eV per atom
Size of the total moment = 0.00 μB/f.u.

No. 22
This record from the Alexandria database describes a geometry-optimized Ti2BeB2Ir5 structure. The functional is GGA-PBE.

```
20
Lattice="9.246 0.000 0.000 0.000 9.246 0.000 0.000 0.000 2.881" Properties=species:S:1:pos:R:3 pbc="T T T"
Ti 1.644 2.980 0.000
Ti 2.980 7.603 0.000
Ti 6.267 1.644 0.000
Ti 7.603 6.267 0.000
Be 0.000 0.000 0.000
Be 4.623 4.623 0.000
B 1.199 5.822 0.000
B 3.424 1.199 0.000
B 5.822 8.047 0.000
B 8.047 3.424 0.000
Ir 0.000 4.623 1.440
Ir 0.607 7.336 1.440
Ir 1.910 0.607 1.440
Ir 2.713 5.230 1.440
Ir 4.016 2.713 1.440
Ir 4.623 0.000 1.440
Ir 5.230 6.533 1.440
Ir 6.533 4.016 1.440
Ir 7.336 8.639 1.440
Ir 8.639 1.910 1.440
```

Results
Mass density = 14664 kg/m3
Space group = P4/mbm
Electronic total energy = -8.4539 eV per atom
Size of the total moment = 0.00 μB/f.u.

No. 23
This record from the Alexandria database describes a geometry-optimized Sc4H2CN structure. The functional is GGA-PBE.

```
8
Lattice="-2.324 2.324 4.454 2.324 -2.324 4.454 2.324 2.324 -4.454" Properties=species:S:1:pos:R:3 pbc="T T T"
Sc 2.324 0.000 0.000
Sc 0.000 0.000 2.190
Sc 0.000 2.324 0.000
Sc 0.000 0.000 6.719
H 2.324 0.000 2.227
H 0.000 2.324 2.227
C 0.000 0.000 4.454
N 0.000 0.000 0.000
```

Results
Mass density = 3585 kg/m3
Space group = I4/mmm
Electronic total energy = -6.9726 eV per atom
Size of the total moment = 1.42 μB/f.u.

No. 24
This record from the Alexandria database describes a geometry-optimized Zn2TeAu structure. The functional is GGA-PBE.

```
4
Lattice="2.112 1.219 5.422 -2.112 1.219 5.422 0.000 -2.438 5.422" Properties=species:S:1:pos:R:3 pbc="T T T"
Zn 0.000 0.000 0.000
Zn 0.000 0.000 4.264
Te 0.000 0.000 8.105
Au 0.000 0.000 11.722
```

Results
Mass density = 9029 kg/m3
Formation energy from raw total energies = 0.004 eV/f.u.
Space group = R3m
Electronic total energy = -2.2408 eV per atom
Size of the total moment = 0.00 μB/f.u.